# 1
Density functional theory data (PBEsol) for a relaxed structure of Cd3H28C12N30O2.

a b c (Å): 12.454 15.226 8.240
angles (deg): 90.00 118.06 90.00
Space group C2 (No. 5)
Asymmetric unit:
Cd 0.000 0.000 0.000 x2
Cd 0.003 0.589 0.261 x4
H 0.002 0.770 0.365 x4
H 0.006 0.400 0.867 x4
H 0.037 0.020 0.716 x4
H 0.056 0.300 0.223 x4
H 0.056 0.871 0.724 x4
H 0.109 0.018 0.375 x4
H 0.133 0.235 0.557 x4
H 0.155 0.270 0.955 x4
H 0.173 0.894 0.482 x4
H 0.202 0.453 0.489 x4
H 0.210 0.717 0.009 x4
H 0.233 0.938 0.164 x4
H 0.240 0.547 0.812 x4
H 0.249 0.665 0.303 x4
C 0.002 0.796 0.131 x4
C 0.005 0.374 0.632 x4
C 0.247 0.996 0.956 x4
C 0.248 0.706 0.796 x4
C 0.249 0.476 0.294 x4
C 0.250 0.197 0.459 x4
N 0.000 0.319 0.500 x2
N 0.000 0.712 0.084 x4
N 0.000 0.852 0.000 x2
N 0.001 0.459 0.585 x4
N 0.010 0.824 0.295 x4
N 0.013 0.347 0.797 x4
N 0.145 0.517 0.183 x4
N 0.149 0.530 0.020 x4
N 0.155 0.652 0.690 x4
N 0.156 0.648 0.521 x4
N 0.179 0.962 0.785 x4
N 0.190 0.235 0.290 x4
N 0.211 0.997 0.095 x4
N 0.220 0.211 0.596 x4
N 0.221 0.224 0.025 x4
N 0.221 0.953 0.527 x4
O 0.033 0.048 0.276 x4

Results
DFT total energy   -6.63 eV per atom
Calculated volume   1378.84 Å³/cell

***

# 2
Density functional theory data (PBEsol) for a relaxed structure of CdRe2H26C6S6N12O9.

a b c (Å): 15.590 14.066 14.325
angles (deg): 90.00 112.69 90.00
Space group C2/c (No. 15)
Asymmetric unit:
Cd 0.250 0.250 0.000 x4
Re 0.165 0.163 0.363 x8
H 0.010 0.122 0.060 x8
H 0.012 0.385 0.395 x8
H 0.056 0.337 0.277 x8
H 0.057 0.327 0.864 x8
H 0.062 0.338 0.659 x8
H 0.066 0.095 0.705 x8
H 0.097 0.089 0.598 x8
H 0.102 0.378 0.518 x8
H 0.128 0.136 0.081 x8
H 0.189 0.464 0.971 x8
H 0.199 0.414 0.257 x8
H 0.201 0.423 0.421 x8
H 0.211 0.481 0.697 x8
C 0.031 0.356 0.990 x8
C 0.041 0.113 0.933 x8
C 0.201 0.462 0.833 x8
S 0.125 0.122 0.884 x8
S 0.147 0.356 0.069 x8
S 0.195 0.340 0.819 x8
N 0.006 0.340 0.891 x8
N 0.032 0.375 0.472 x8
N 0.047 0.097 0.628 x8
N 0.062 0.121 0.032 x8
N 0.196 0.496 0.413 x8
N 0.211 0.485 0.261 x8
O 0.000 0.379 0.250 x4
O 0.095 0.118 0.246 x8
O 0.116 0.135 0.451 x8
O 0.169 0.288 0.353 x8
O 0.224 0.386 0.598 x8

Results
DFT total energy   -6.16 eV per atom
Calculated volume   2898.30 Å³/cell